1.
VASP calculation (PBE) on a relaxed KNbZn crystal.

Values from the calculation:
Magnetic moment, μB/cell: 1.49
Final energy, eV/atom: -2.962
Distance to the lowest polymorph of the same formula, eV per atom: 0.955
DFT formation energy, meV per atom: 1185
Density of states at the Fermi level, states/eV/f.u.: 3.006

The structure in extended XYZ format:
```
3
Lattice="3.793 -2.190 0.000 0.000 4.380 0.000 0.000 0.000 5.840" Properties=species:S:1:pos:R:3 pbc="T T T"
K 2.529 0.000 2.920
Nb 1.264 2.190 0.000
Zn 0.000 0.000 0.000
```

2.
VASP calculation (PBE) on a relaxed KNbZn crystal.

Values from the calculation:
Magnetic moment, μB/cell: 0.00
Final energy, eV/atom: -3.572
Distance to the lowest polymorph of the same formula, eV per atom: 0.345
DFT formation energy, meV per atom: 575
Density of states at the Fermi level, states/eV/f.u.: 2.591

The structure in extended XYZ format:
```
12
Lattice="9.305 0.000 0.000 0.000 3.233 0.000 0.000 0.000 11.024" Properties=species:S:1:pos:R:3 pbc="T T T"
Zn 2.432 0.808 1.216
Zn 7.085 0.808 4.296
Zn 2.221 2.425 6.728
Zn 6.873 2.425 9.808
Nb 8.503 2.425 6.053
Nb 5.455 0.808 0.542
Nb 0.803 0.808 4.970
Nb 3.850 2.425 10.482
K 0.622 0.808 9.226
K 5.275 0.808 7.310
K 4.031 2.425 3.714
K 8.683 2.425 1.798
```

3.
VASP calculation (PBE) on a relaxed KNbZn crystal.

Values from the calculation:
Magnetic moment, μB/cell: 0.00
Final energy, eV/atom: -3.601
Distance to the lowest polymorph of the same formula, eV per atom: 0.316
DFT formation energy, meV per atom: 546
Density of states at the Fermi level, states/eV/f.u.: 2.230

The structure in extended XYZ format:
```
12
Lattice="-4.234 -5.939 -4.550 0.633 -1.887 1.874 -9.517 2.441 5.671" Properties=species:S:1:pos:R:3 pbc="T T T"
K -7.462 -4.478 -0.993
K -11.070 -3.031 3.676
K -2.049 -2.354 -0.681
K -5.657 -0.907 3.988
Zn -2.988 -1.746 2.243
Zn -4.407 -4.894 -0.449
Zn -10.130 -3.640 0.752
Zn -8.712 -0.491 3.444
Nb -4.976 -5.869 -3.232
Nb -8.142 0.483 6.227
Nb -7.676 -3.148 2.413
Nb -5.443 -2.237 0.582
```

4.
VASP calculation (PBE) on a relaxed KNbZn crystal.

Values from the calculation:
Magnetic moment, μB/cell: 0.00
Final energy, eV/atom: -2.592
Distance to the lowest polymorph of the same formula, eV per atom: 1.326
DFT formation energy, meV per atom: 1555
Density of states at the Fermi level, states/eV/f.u.: 3.927

The structure in extended XYZ format:
```
3
Lattice="0.000 3.438 3.438 3.438 0.000 3.438 3.438 3.438 0.000" Properties=species:S:1:pos:R:3 pbc="T T T"
K 1.719 1.719 1.719
Zn 0.000 0.000 0.000
Nb 5.156 5.156 5.156
```

5.
VASP calculation (PBE) on a relaxed KZr3Nb crystal.

Values from the calculation:
Magnetic moment, μB/cell: 0.00
Final energy, eV/atom: -5.318
Distance to the lowest polymorph of the same formula, eV per atom: 1.080
DFT formation energy, meV per atom: 2044
Density of states at the Fermi level, states/eV/f.u.: 9.751

The structure in extended XYZ format:
```
5
Lattice="4.860 0.000 0.000 0.000 4.860 0.000 0.000 0.000 4.860" Properties=species:S:1:pos:R:3 pbc="T T T"
Nb 2.430 2.430 2.430
K 0.000 0.000 0.000
Zr 2.430 0.000 0.000
Zr 0.000 2.430 0.000
Zr 0.000 0.000 2.430
```

6.
VASP calculation (PBE) on a relaxed KZr3Nb crystal.

Values from the calculation:
Magnetic moment, μB/cell: 0.54
Final energy, eV/atom: -6.399
Distance to the lowest polymorph of the same formula, eV per atom: 0.000
DFT formation energy, meV per atom: 964
Density of states at the Fermi level, states/eV/f.u.: 10.032

The structure in extended XYZ format:
```
5
Lattice="5.308 0.000 0.000 0.000 5.308 0.000 0.000 0.000 5.308" Properties=species:S:1:pos:R:3 pbc="T T T"
Zr 0.000 0.000 2.654
Zr 0.000 2.654 0.000
Zr 2.654 0.000 0.000
K 2.654 2.654 2.654
Nb 0.000 0.000 0.000
```

7.
VASP calculation (PBE) on a relaxed KZrNb3 crystal.

Values from the calculation:
Magnetic moment, μB/cell: 0.00
Final energy, eV/atom: -6.225
Distance to the lowest polymorph of the same formula, eV per atom: 0.000
DFT formation energy, meV per atom: 1746
Density of states at the Fermi level, states/eV/f.u.: 10.795

The structure in extended XYZ format:
```
5
Lattice="-4.155 0.518 2.961 -1.866 -4.405 -1.849 2.356 -2.575 3.757" Properties=species:S:1:pos:R:3 pbc="T T T"
Nb -0.933 -2.202 -0.924
Nb 1.178 -1.288 1.879
Nb -2.078 0.259 1.481
Zr 0.000 0.000 0.000
K -1.833 -3.231 2.435
```

8.
VASP calculation (PBE) on a relaxed K2ZrNb crystal.

Values from the calculation:
Magnetic moment, μB/cell: 4.25
Final energy, eV/atom: -3.704
Distance to the lowest polymorph of the same formula, eV per atom: 0.000
DFT formation energy, meV per atom: 1499
Density of states at the Fermi level, states/eV/f.u.: 5.453

The structure in extended XYZ format:
```
8
Lattice="12.496 0.000 0.000 0.000 12.496 0.000 6.248 6.248 2.494" Properties=species:S:1:pos:R:3 pbc="T T T"
K 15.620 4.746 1.870
K 10.994 3.124 0.623
K 9.372 7.750 1.870
K 13.998 9.372 0.623
Zr 6.248 6.248 0.000
Zr 6.248 12.496 1.247
Nb 0.000 0.000 0.000
Nb 12.496 6.248 1.247
```

9.
VASP calculation (PBE) on a relaxed K2ZrNb crystal.

Values from the calculation:
Magnetic moment, μB/cell: 1.81
Final energy, eV/atom: -3.328
Distance to the lowest polymorph of the same formula, eV per atom: 0.377
DFT formation energy, meV per atom: 1876
Density of states at the Fermi level, states/eV/f.u.: 4.157

The structure in extended XYZ format:
```
4
Lattice="1.936 -4.836 2.360 2.288 0.092 5.241 -2.806 -2.364 4.387" Properties=species:S:1:pos:R:3 pbc="T T T"
Zr 0.000 0.000 0.000
Nb 0.709 -3.554 5.994
K 0.355 -1.777 2.997
K 1.064 -5.331 8.991
```

10.
VASP calculation (PBE) on a relaxed K3Nd crystal.

Values from the calculation:
Magnetic moment, μB/cell: 0.66
Final energy, eV/atom: -1.483
DFT formation energy, meV per atom: 533
Density of states at the Fermi level, states/eV/f.u.: 6.367

The structure in extended XYZ format:
```
4
Lattice="7.836 -0.036 0.000 3.533 6.994 0.000 -5.685 -3.479 4.121" Properties=species:S:1:pos:R:3 pbc="T T T"
K 5.685 3.479 0.000
K 3.918 -0.018 2.060
K 1.767 3.497 2.060
Nd 0.000 0.000 0.000
```

11.
VASP calculation (PBE) on a relaxed K3Nd crystal.

Values from the calculation:
Magnetic moment, μB/cell: 2.81
Final energy, eV/atom: -1.483
DFT formation energy, meV per atom: 532
Density of states at the Fermi level, states/eV/f.u.: 6.076

The structure in extended XYZ format:
```
8
Lattice="-0.345 8.605 0.320 -6.980 -4.667 1.941 2.016 -0.173 6.834" Properties=species:S:1:pos:R:3 pbc="T T T"
Nd -3.256 -0.373 6.526
Nd -2.053 4.138 2.569
K 0.200 2.016 5.567
K -5.508 1.748 3.528
K -5.341 -2.440 3.372
K -1.943 -0.168 2.427
K -3.365 3.932 6.668
K 0.032 6.204 5.723
```

12.
VASP calculation (PBE) on a relaxed KNd4 crystal.

Values from the calculation:
Magnetic moment, μB/cell: 0.00
Final energy, eV/atom: -3.073
DFT formation energy, meV per atom: 961
Density of states at the Fermi level, states/eV/f.u.: 7.553

The structure in extended XYZ format:
```
5
Lattice="-0.985 0.603 -5.652 -5.576 -1.219 0.842 -1.106 5.607 0.791" Properties=species:S:1:pos:R:3 pbc="T T T"
Nd -3.281 -0.308 -2.405
Nd 0.000 0.000 0.000
Nd -3.341 2.194 0.816
Nd -1.046 3.105 -2.431
K -3.834 2.495 -2.010
```

13.
VASP calculation (PBE) on a relaxed KNd2Ni crystal.

Values from the calculation:
Magnetic moment, μB/cell: 0.00
Final energy, eV/atom: -4.073
DFT formation energy, meV per atom: 30
Density of states at the Fermi level, states/eV/f.u.: 3.222

The structure in extended XYZ format:
```
4
Lattice="4.125 0.000 0.000 2.063 3.573 0.000 2.063 1.191 11.238" Properties=species:S:1:pos:R:3 pbc="T T T"
Nd 6.188 3.573 4.186
Nd 2.063 1.191 7.052
Ni 4.125 2.382 5.619
K 0.000 0.000 0.000
```

14.
VASP calculation (PBE) on a relaxed K2NdNpO4 crystal.

Values from the calculation:
Magnetic moment, μB/cell: 4.00
Final energy, eV/atom: -7.366
ΔE_f (raw), eV per atom: -2.399
Density of states at the Fermi level, states/eV/f.u.: 8.877

The structure in extended XYZ format:
```
8
Lattice="-3.408 0.997 -0.609 -1.643 -5.978 -0.591 -0.637 1.726 6.396" Properties=species:S:1:pos:R:3 pbc="T T T"
Np -2.525 -2.491 -0.600
K -2.023 1.361 2.894
K -1.140 -2.126 2.902
O -0.978 -0.278 5.023
O -3.469 -2.655 4.415
O -1.302 -3.974 0.782
O -2.219 -0.600 0.781
Nd 0.000 0.000 0.000
```

15.
VASP calculation (PBE) on a relaxed K4Nd3NpO8 crystal.

Values from the calculation:
Magnetic moment, μB/cell: 4.00
Final energy, eV/atom: -6.955
ΔE_f (raw), eV per atom: -2.499
Density of states at the Fermi level, states/eV/f.u.: 8.757

The structure in extended XYZ format:
```
16
Lattice="7.242 0.000 0.000 0.000 7.575 0.226 -3.621 -3.615 5.125" Properties=species:S:1:pos:R:3 pbc="T T T"
K -1.810 -1.808 2.562
K 1.810 -1.808 2.562
K 0.000 0.000 0.000
K 3.621 0.000 0.000
Nd -1.810 1.980 2.675
Nd 3.621 3.788 0.113
Nd 1.810 1.980 2.675
O 1.857 1.746 5.101
O 3.621 0.360 2.877
O 1.764 2.214 0.249
O 0.000 0.387 2.830
O -1.857 1.746 5.101
O 5.478 2.214 0.249
O 3.621 3.573 2.520
O 0.000 3.600 2.474
Np 0.000 3.788 0.113
```

16.
VASP calculation (PBE) on a relaxed KNd2NpO8 crystal.

Values from the calculation:
Magnetic moment, μB/cell: 0.00
Final energy, eV/atom: -7.854
ΔE_f (raw), eV per atom: -2.584
Density of states at the Fermi level, states/eV/f.u.: 0.767

The structure in extended XYZ format:
```
12
Lattice="-2.916 -2.384 -1.597 4.159 -3.305 -1.119 -0.981 -3.723 7.349" Properties=species:S:1:pos:R:3 pbc="T T T"
O -0.373 -1.810 -0.967
O 0.636 -7.603 5.599
O 0.826 -5.011 2.255
O -0.564 -4.402 2.378
O 2.876 -3.334 0.492
O 2.272 -5.629 5.021
O -2.009 -3.783 -0.388
O -2.614 -6.078 4.141
K -0.491 -1.862 3.674
Np 0.000 0.000 0.000
Nd 0.402 -3.677 0.285
Nd -0.140 -5.735 4.347
```

17.
VASP calculation (PBE) on a relaxed K2Nd2NpO6 crystal.

Values from the calculation:
Magnetic moment, μB/cell: 3.00
Final energy, eV/atom: -7.650
ΔE_f (raw), eV per atom: -2.702
Density of states at the Fermi level, states/eV/f.u.: 9.429

The structure in extended XYZ format:
```
11
Lattice="-2.258 5.343 2.259 -3.020 -5.338 1.064 5.046 -0.843 4.313" Properties=species:S:1:pos:R:3 pbc="T T T"
O 2.427 1.175 3.811
O 0.335 -0.272 2.221
O -0.567 -0.566 5.415
O 2.178 -2.313 3.421
O -2.659 -2.013 3.824
O -2.410 1.475 4.215
K -2.384 3.574 2.061
K -2.894 -3.569 1.262
Nd -0.242 -2.192 3.619
Nd 0.011 1.354 4.016
Np 2.523 -0.421 2.156
```

18.
VASP calculation (PBE) on a relaxed K2NdNpS4 crystal.

Values from the calculation:
Magnetic moment, μB/cell: 4.00
Final energy, eV/atom: -6.162
ΔE_f (raw), eV per atom: -1.611
Density of states at the Fermi level, states/eV/f.u.: 8.194

The structure in extended XYZ format:
```
8
Lattice="-2.411 -1.400 -3.079 -2.985 -4.760 4.501 -4.170 6.538 0.293" Properties=species:S:1:pos:R:3 pbc="T T T"
S -4.141 3.921 1.460
S -3.014 -2.143 3.334
S -2.788 -0.490 -0.396
S -6.778 0.867 2.111
K -3.577 0.889 2.397
K -3.290 2.569 -1.393
Nd 0.000 0.000 0.000
Np -2.698 -3.080 0.711
```

19.
VASP calculation (PBE) on a relaxed K4NdNp3S8 crystal.

Values from the calculation:
Magnetic moment, μB/cell: 12.00
Final energy, eV/atom: -6.567
ΔE_f (raw), eV per atom: -1.504
Density of states at the Fermi level, states/eV/f.u.: 26.623

The structure in extended XYZ format:
```
16
Lattice="-6.236 4.970 2.098 -3.599 -1.179 -7.907 1.656 -6.680 4.542" Properties=species:S:1:pos:R:3 pbc="T T T"
Np -0.972 -3.929 -1.682
Np -4.918 1.895 -2.905
Np -4.090 -1.444 -0.634
S -4.949 -0.062 1.640
S -2.703 0.776 -1.616
S -2.419 -6.102 -0.680
S -5.477 -3.665 0.348
S -5.761 3.213 -0.587
S -6.307 -0.287 -1.865
S -1.873 -2.602 0.598
S -3.231 -2.827 -2.908
Nd -1.800 -0.590 -3.954
K 0.828 -3.340 2.271
K -2.290 -0.855 3.320
K -3.118 2.485 1.049
K 0.000 0.000 0.000
```

20.
VASP calculation (PBE) on a relaxed K4Nd3NpS8 crystal.

Values from the calculation:
Magnetic moment, μB/cell: 4.00
Final energy, eV/atom: -5.768
ΔE_f (raw), eV per atom: -1.728
Density of states at the Fermi level, states/eV/f.u.: 5.731

The structure in extended XYZ format:
```
16
Lattice="8.362 0.000 0.000 0.000 8.817 0.313 -4.181 -4.176 5.916" Properties=species:S:1:pos:R:3 pbc="T T T"
S 4.181 4.276 3.018
S 0.000 4.275 2.974
S 2.060 2.484 0.254
S -2.121 2.157 5.975
S 0.000 0.365 3.211
S 4.181 0.366 3.255
S 2.121 2.157 5.975
S 6.302 2.484 0.254
Nd -2.090 2.320 3.114
Nd 2.090 2.320 3.114
Nd 4.181 4.408 0.156
K -2.090 -2.088 2.958
K 0.000 0.000 0.000
K 2.090 -2.088 2.958
K 4.181 0.000 0.000
Np 0.000 4.408 0.156
```